Record 1
## LaPm4Sn15 (PBE)

Data for a geometry-optimized LaPm4Sn15 structure.

Cell lengths 4.7123, 4.7123, 24.4470 Å; angles 90.00, 90.00, 90.00 degrees
Last column: nearest neighbours and their distance in Å.
Space group P4/mmm (No. 123)
One atom of each set of equivalent atoms:
La: 0.0000 0.0000 0.0000 [1 per cell]  12 Sn 3.33-3.42
Pm: 0.0000 0.0000 0.2003 [2 per cell]  12 Sn 3.33-3.40
Pm: 0.0000 0.0000 0.4004 [2 per cell]  12 Sn 3.33-3.39
Sn: 0.0000 0.5000 0.1014 [4 per cell]  8 Sn 3.33-3.42, 2 Pm 3.38, 2 La 3.42
Sn: 0.0000 0.5000 0.3006 [4 per cell]  8 Sn 3.33-3.39, 4 Pm 3.39-3.40
Sn: 0.0000 0.5000 0.5000 [2 per cell]  8 Sn 3.33-3.39, 4 Pm 3.39
Sn: 0.5000 0.5000 0.0000 [1 per cell]  4 La 3.33, 8 Sn 3.42
Sn: 0.5000 0.5000 0.2008 [2 per cell]  4 Pm 3.33, 8 Sn 3.38-3.39
Sn: 0.5000 0.5000 0.4000 [2 per cell]  4 Pm 3.33, 8 Sn 3.39

Magnetization ... 0.000 μB/f.u.
ΔH_f (0 K) ... -0.504 eV/atom



Record 2
## ZrScCu (PBE)

Data for a geometry-optimized ZrScCu structure.

Cell lengths 6.4260, 3.2385, 11.2716 Å; angles 90.00, 90.00, 90.00 degrees
Last column: nearest neighbours and their distance in Å.
Space group Pnma (No. 62)
One atom of each set of equivalent atoms:
Zr: 0.1232 0.2500 0.0933 [4 per cell]  4 Cu 2.86-2.91, 2 Zr 3.09, 3 Sc 3.18-3.20
Sc: 0.1256 0.2500 0.3973 [4 per cell]  4 Cu 2.79-2.85
Cu: 0.1266 0.2500 0.7529 [4 per cell]  4 Sc 2.79-2.85, 4 Zr 2.86-2.91

Magnetization ... 0.001 μB/f.u.
Offset from the most stable computed form ... 2.14 kJ per mole of atoms
ΔH_f (0 K) ... -0.130 eV/atom



Record 3
## MgNpSn6 (PBE)

Data for a geometry-optimized MgNpSn6 structure.

Cell lengths 4.6542, 4.6542, 9.4633 Å; angles 90.00, 90.00, 90.00 degrees
Last column: nearest neighbours and their distance in Å.
Space group P4/mmm (No. 123)
One atom of each set of equivalent atoms:
Mg: 0.0000 0.0000 0.0000 [1 per cell]  12 Sn 3.29-3.30
Np: 0.0000 0.0000 0.5000 [1 per cell]  12 Sn 3.29-3.33
Sn: 0.0000 0.5000 0.2478 [4 per cell]  8 Sn 3.29-3.33, 2 Mg 3.30, 2 Np 3.33
Sn: 0.5000 0.5000 0.0000 [1 per cell]  4 Mg 3.29, 8 Sn 3.30
Sn: 0.5000 0.5000 0.5000 [1 per cell]  4 Np 3.29, 8 Sn 3.33

Magnetization ... 4.307 μB/f.u.
ΔH_f (0 K) ... -0.043 eV/atom



Q: Which value of ΔH_f (0 K) does entry 2 give?
A: -0.130 eV/atom



Q: Which of these has the lowest ΔH_f (0 K)?
A: LaPm4Sn15



Q: The lowest magnetization belongs to which entry?
A: LaPm4Sn15